No. 1
Computed, not measured: a geometry-optimized Zn3Ag2Au4 structure at the PBE level of DFT.

Unit cell a=5.504 b=13.733 c=8.491 alpha=90.00 beta=90.00 gamma=90.00
Space group Cmce (No. 64)
Unique sites:
Zn: 0.000 0.000 0.000 [4 per cell]
Zn: 0.250 0.231 0.250 [8 per cell]
Ag: 0.000 0.098 0.440 [8 per cell]
Au: 0.000 0.191 0.993 [8 per cell]
Au: 0.250 0.061 0.750 [8 per cell]

Crystal system: orthorhombic
Energy above the lowest structure with this stoichiometry in eV/atom: 0.032

***

No. 2
Computed, not measured: a geometry-optimized PmDyAg2 structure at the PBE level of DFT.

Unit cell a=7.376 b=7.376 c=7.376 alpha=90.00 beta=90.00 gamma=90.00
Space group Fm-3m (No. 225)
Unique sites:
Pm: 0.000 0.000 0.000 [4 per cell]
Dy: 0.000 0.000 0.500 [4 per cell]
Ag: 0.250 0.250 0.250 [8 per cell]

Crystal system: cubic
Energy above the lowest structure with this stoichiometry in eV/atom: 0.011

***

No. 3
Computed, not measured: a geometry-optimized NdSmSb2 structure at the PBE level of DFT.

Unit cell a=4.5000 b=4.5000 c=22.0174 alpha=90.00 beta=90.00 gamma=120.00
Space group R-3m (No. 166, hexagonal axes)
Unique sites:
Nd: 0.0000 0.0000 0.0000 [3 per cell]
Sm: 0.0000 0.0000 0.5000 [3 per cell]
Sb: 0.0000 0.0000 0.2489 [6 per cell]

Formation energy from raw total energies in eV/atom: -1.18
Crystal system: trigonal
Energy above the lowest structure with this stoichiometry in eV/atom: 0.001

***

No. 4
Computed, not measured: a geometry-optimized LiTiAs structure at the PBE level of DFT.

Unit cell a=4.019 b=4.019 c=6.711 alpha=90.00 beta=90.00 gamma=90.00
Space group P4/nmm (No. 129, origin choice 2)
Unique sites:
Li: 0.250 0.250 0.147 [2 per cell]
Ti: 0.250 0.750 0.500 [2 per cell]
As: 0.250 0.250 0.746 [2 per cell]

E in eV/atom: -5.50
Crystal system: tetragonal

***

No. 5
Computed, not measured: a geometry-optimized TlRh3 structure at the PBE level of DFT.

Unit cell a=2.9279 b=2.9279 c=26.5143 alpha=90.00 beta=90.00 gamma=120.00
Space group R-3m (No. 166, hexagonal axes)
Unique sites:
Tl: 0.0000 0.0000 0.0000 [3 per cell]
Rh: 0.0000 0.0000 0.2456 [6 per cell]
Rh: 0.0000 0.0000 0.5000 [3 per cell]

E in eV/atom: -5.76
Crystal system: trigonal

***

No. 6
Computed, not measured: a geometry-optimized AsSe2Br structure at the PBE level of DFT.

Unit cell a=3.734 b=8.489 c=7.812 alpha=90.00 beta=90.00 gamma=90.00
Space group Cmm2 (No. 35)
Unique sites:
As: 0.000 0.000 0.000 [2 per cell]
Se: 0.000 0.000 0.459 [2 per cell]
Se: 0.000 0.500 0.220 [2 per cell]
Br: 0.000 0.500 0.738 [2 per cell]

Formation energy from raw total energies in eV/atom: 0.32
Crystal system: orthorhombic
Energy above the lowest structure with this stoichiometry in eV/atom: 0.477